# CsK2Be2

A relaxed CsK2Be2 crystal (PBE, Alexandria via LeMat-Bulk).

Calculated formation energy ... 983 meV per atom
Crystal system ... tetragonal
Excess energy over the best structure of this formula in the dataset ... 0.000 eV/f.u.
SG ... P4/mbm (127)

Cell lengths 10.1367, 10.1367, 3.9411 Å; angles 90.00, 90.00, 90.00 degrees
Closest atoms and distances in Å follow each position.
Atoms (fractional coordinates):
1 Be 0.1668 0.6668 0.5000  6 K 3.54-3.60, 2 Be 3.94
2 Be 0.3332 0.1668 0.5000  6 K 3.54-3.60, 2 Be 3.94
3 Be 0.6668 0.8332 0.5000  6 K 3.54-3.60, 2 Be 3.94
4 Be 0.8332 0.3332 0.5000  6 K 3.54-3.60, 2 Be 3.94
5 Cs 0.5000 0.5000 0.0000  2 Cs 3.94, 4 K 3.99, 8 Be 4.26
6 Cs 0.0000 0.0000 0.0000  2 Cs 3.94, 4 K 3.99, 8 Be 4.26
7 K 0.3720 0.8720 0.0000  6 Be 3.54-3.60, 3 K 3.67-3.94
8 K 0.1280 0.3720 0.0000  6 Be 3.54-3.60, 3 K 3.67-3.94
9 K 0.6280 0.1280 0.0000  6 Be 3.54-3.60, 3 K 3.67-3.94
10 K 0.8720 0.6280 0.0000  6 Be 3.54-3.60, 3 K 3.67-3.94